# 1
An optimized crystal structure of Tl4O, computed with PBE.

Cell lengths 5.1955, 5.1955, 5.1955 Å; angles 90.00, 90.00, 90.00 degrees
Closest atoms and distances in Å follow each position.
Sites, in units of the cell vectors:
Tl 0.0000 0.5000 0.5000  2 O 2.60
O 0.5000 0.5000 0.5000  6 Tl 2.60
Tl 0.5000 0.5000 0.0000  2 O 2.60
Tl 0.5000 0.0000 0.5000  2 O 2.60
Tl 0.0000 0.0000 0.0000  12 Tl 3.67

## Properties
energy relative to the elements, uncorrected	-58	kJ/mol of formula units
Fermi-level density of states	0.554	states/eV per atom
energy above the lowest structure with this stoichiometry	184	meV/atom
DFT total energy	-3.004	eV/atom

=====

# 2
An optimized crystal structure of Tl3O4, computed with PBE.

Cell lengths 3.5829, 5.8649, 6.2696 Å; angles 112.62, 106.60, 90.00 degrees
Closest atoms and distances in Å follow each position.
Sites, in units of the cell vectors:
O 0.8617 0.5785 0.7235  4 Tl 2.28-2.36
O 0.6297 0.9845 0.2595  3 Tl 2.18-2.40
Tl 0.3064 0.3154 0.6128  4 O 2.18-2.34
O 0.3703 0.0155 0.7405  3 Tl 2.18-2.40
Tl 0.0000 0.0000 0.0000  6 O 2.36-2.40
O 0.1383 0.4215 0.2765  4 Tl 2.28-2.36
Tl 0.6936 0.6846 0.3872  4 O 2.18-2.34

## Properties
energy relative to the elements, uncorrected	-396	kJ/mol of formula units
Fermi-level density of states	0.127	states/eV per atom
energy above the lowest structure with this stoichiometry	0	meV/atom
DFT total energy	-4.434	eV/atom

=====

# 3
An optimized crystal structure of Tl4O5, computed with PBE.

Cell lengths 3.2319, 7.7958, 7.7958 Å; angles 87.54, 78.04, 78.04 degrees
Closest atoms and distances in Å follow each position.
Sites, in units of the cell vectors:
Tl 0.3446 0.3109 0.0000  4 O 2.43
O 0.0000 0.7814 0.2186  1 O 2.36, 4 Tl 2.43
O 0.2186 0.7814 0.7814  1 O 2.36, 4 Tl 2.43
O 0.0000 0.2186 0.7814  1 O 2.36, 4 Tl 2.43
O 0.0000 0.0000 0.0000  4 O 2.36
O 0.7814 0.2186 0.2186  1 O 2.36, 4 Tl 2.43
Tl 0.6554 0.0000 0.6891  4 O 2.43
Tl 0.6554 0.6891 0.0000  4 O 2.43
Tl 0.3446 0.0000 0.3109  4 O 2.43

## Properties
energy relative to the elements, uncorrected	3	kJ/mol of formula units
Fermi-level density of states	0.423	states/eV per atom
DFT total energy	-3.803	eV/atom

=====

# 4
An optimized crystal structure of Tl4O, computed with PBE.

Cell lengths 3.5234, 3.5202, 12.9532 Å; angles 89.78, 90.00, 120.03 degrees
Closest atoms and distances in Å follow each position.
Sites, in units of the cell vectors:
Tl 0.6682 0.3364 0.3824  10 Tl 3.40-3.67
Tl 0.3318 0.6636 0.6176  10 Tl 3.40-3.67
O 0.0000 0.0000 0.0000  6 Tl 2.56
Tl 0.3347 0.6694 0.8804  3 O 2.56
Tl 0.6653 0.3306 0.1196  3 O 2.56

## Properties
energy relative to the elements, uncorrected	-146	kJ/mol of formula units
Fermi-level density of states	0.334	states/eV per atom
energy above the lowest structure with this stoichiometry	0	meV/atom
DFT total energy	-3.188	eV/atom

=====

Record-wise ρ values, in Mg/m³: 9.9 9.7 7.9 10.0